No. 1
{"formula": "CrAs2SeBr", "functional": "PBEsol", "state": "optimized geometry", "dos_at_fermi_per_ev_fu": 4.64, "raw_formation_energy_mev_per_atom": 1335, "total_magnetization_mub_per_fu": 3.1, "e_above_lowest_polymorph_mev_per_atom": 1130.4, "cell": [[5.037, 0.000, 0.000], [0.000, 5.037, 0.000], [0.000, 0.000, 4.973]], "species": ["Cr", "As", "As", "Se", "Br"], "fractional_positions": [[0.000, 0.000, 0.000], [0.000, 0.500, 0.500], [0.500, 0.000, 0.500], [0.500, 0.500, 0.000], [0.500, 0.500, 0.500]]}

---

No. 2
{"formula": "CrSiAsBr2", "functional": "PBEsol", "state": "optimized geometry", "dos_at_fermi_per_ev_fu": 2.76, "raw_formation_energy_mev_per_atom": 467, "total_magnetization_mub_per_fu": 3.2, "cell": [[4.822, 0.000, 0.000], [0.000, 4.822, 0.000], [0.000, 0.000, 4.961]], "species": ["Cr", "Si", "As", "Br", "Br"], "fractional_positions": [[0.000, 0.000, 0.000], [0.500, 0.500, 0.500], [0.000, 0.000, 0.500], [0.000, 0.500, 0.000], [0.500, 0.000, 0.000]]}

---

No. 3
{"formula": "SrCrAs2Br", "functional": "PBEsol", "state": "optimized geometry", "dos_at_fermi_per_ev_fu": 2.77, "raw_formation_energy_mev_per_atom": -494, "total_magnetization_mub_per_fu": 2.2, "cell": [[4.662, 0.000, 0.000], [0.000, 4.662, 0.000], [0.000, 0.000, 5.419]], "species": ["Sr", "Cr", "As", "As", "Br"], "fractional_positions": [[0.000, 0.000, 0.000], [0.500, 0.500, 0.500], [0.000, 0.500, 0.500], [0.500, 0.000, 0.500], [0.500, 0.500, 0.000]]}